1.
Density functional theory data (PBE) for a geometry-optimized La3Pm2NdP6 structure.

E_form	-1.563	eV/atom
DFT total energy	-80.27	eV per formula unit
mass density	5.44	Mg/m³
density of states at the Fermi level	0.0843	states/eV per atom

a b c (Å): 7.2905 12.6267 7.2946
angles (deg): 90.00 109.45 90.00
With the nearest neighbours (Å) after each atom.
Space group C2/m (No. 12)
Inequivalent atoms, fractional coordinates:
La  0.0000  0.0000  0.0000 [2 per cell]  6 P 2.99-3.00
La  0.0000  0.3334  0.0000 [4 per cell]  6 P 2.99-3.00
Pm  0.0000  0.1667  0.5000 [4 per cell]  6 P 2.95
Nd  0.0000  0.5000  0.5000 [2 per cell]  6 P 2.96
P  0.2470  0.0000  0.7444 [4 per cell]  2 Pm 2.95, 1 Nd 2.96, 3 La 2.99-3.00
P  0.2487  0.3328  0.7443 [8 per cell]  2 Pm 2.95, 1 Nd 2.96, 3 La 2.99-3.00

---

2.
Density functional theory data (PBE) for a geometry-optimized La3PmNd2P6 structure.

E_form	-1.560	eV/atom
DFT total energy	-80.25	eV per formula unit
mass density	5.41	Mg/m³
density of states at the Fermi level	0.0844	states/eV per atom

a b c (Å): 7.3009 12.6447 7.3050
angles (deg): 90.00 109.44 90.00
With the nearest neighbours (Å) after each atom.
Space group C2/m (No. 12)
Inequivalent atoms, fractional coordinates:
La  0.0000  0.0000  0.0000 [2 per cell]  6 P 3.00-3.01
La  0.0000  0.3331  0.0000 [4 per cell]  6 P 3.00-3.01
Pm  0.0000  0.5000  0.5000 [2 per cell]  6 P 2.95
Nd  0.0000  0.1666  0.5000 [4 per cell]  6 P 2.96-2.97
P  0.2477  0.3339  0.7449 [8 per cell]  1 Pm 2.95, 2 Nd 2.96-2.97, 3 La 3.00-3.01
P  0.2496  0.0000  0.7452 [4 per cell]  1 Pm 2.95, 2 Nd 2.97, 3 La 3.00-3.01

---

3.
Density functional theory data (PBE) for a geometry-optimized La2Pm3NdP6 structure.

E_form	-1.560	eV/atom
DFT total energy	-80.05	eV per formula unit
mass density	5.56	Mg/m³
density of states at the Fermi level	0.1272	states/eV per atom

a b c (Å): 18.2433 4.1874 8.3743
angles (deg): 90.00 103.30 90.00
With the nearest neighbours (Å) after each atom.
Space group C2/m (No. 12)
Inequivalent atoms, fractional coordinates:
La  0.1661  0.0000  0.3322 [4 per cell]  6 P 2.98-3.00
Pm  0.0000  0.5000  0.5000 [2 per cell]  6 P 2.93-2.95
Pm  0.1665  0.0000  0.8338 [4 per cell]  6 P 2.93-2.96
Nd  0.0000  0.5000  0.0000 [2 per cell]  6 P 2.96-2.97
P  0.0015  0.0000  0.7496 [4 per cell]  3 Pm 2.93-2.95, 2 Nd 2.97, 1 La 2.98
P  0.1652  0.5000  0.5868 [4 per cell]  3 Pm 2.93-2.94, 3 La 2.99-3.00
P  0.1669  0.5000  0.0790 [4 per cell]  3 Pm 2.93-2.96, 1 Nd 2.96, 2 La 2.98

---

4.
Density functional theory data (PBE) for a geometry-optimized LaPm2Nd3P6 structure.

E_form	-1.551	eV/atom
DFT total energy	-79.80	eV per formula unit
mass density	5.64	Mg/m³
density of states at the Fermi level	0.1008	states/eV per atom

a b c (Å): 7.2303 12.5220 7.2299
angles (deg): 90.00 109.45 90.00
With the nearest neighbours (Å) after each atom.
Space group C2/m (No. 12)
Inequivalent atoms, fractional coordinates:
La  0.0000  0.0000  0.0000 [2 per cell]  6 P 2.97
Pm  0.0000  0.3332  0.0000 [4 per cell]  6 P 2.94
Nd  0.0000  0.1663  0.5000 [4 per cell]  6 P 2.93-2.96
Nd  0.0000  0.5000  0.5000 [2 per cell]  6 P 2.93-2.96
P  0.2466  0.5000  0.2498 [4 per cell]  3 Nd 2.93-2.96, 2 Pm 2.94, 1 La 2.97
P  0.2483  0.3316  0.7499 [8 per cell]  3 Nd 2.93-2.96, 2 Pm 2.94, 1 La 2.97